Entry from Alexandria via LeMat-Bulk: a relaxed structure of BaMnOs2 (PBE-GGA).

Computed properties:
Mass density in g/cm3: 12.26
Formation energy from the elements in eV/atom: 1.44
Relative energy among the computed polymorphs in meV per atom: 1118.9

Lattice parameters (Å, degrees): 5.5108 5.5108 3.0018 90.00 90.00 121.72
Closest atoms and distances in Å follow each position.
Fractional positions:
Ba 0.0000 0.0000 0.0000  2 Mn 2.68, 2 Ba 3.00
Mn 0.5000 0.5000 0.0000  2 Ba 2.68, 2 Mn 3.00
Os 0.0000 0.5000 0.5000  4 Os 2.68-3.00
Os 0.5000 0.0000 0.5000  4 Os 2.68-3.00


Entry from Alexandria via LeMat-Bulk: a relaxed structure of BaMnOs2 (PBE-GGA).

Computed properties:
Mass density in g/cm3: 9.81
Formation energy from the elements in eV/atom: 0.32
Relative energy among the computed polymorphs in meV per atom: 0.0

Lattice parameters (Å, degrees): 6.4241 6.4241 6.4241 39.58 39.58 39.58
Closest atoms and distances in Å follow each position.
Fractional positions:
Ba 0.0000 0.0000 0.0000  7 Os 3.35-3.67, 4 Mn 3.41-3.55
Mn 0.8079 0.8079 0.8079  6 Os 2.62-2.65
Os 0.1888 0.1888 0.1888  3 Os 2.51, 3 Mn 2.65
Os 0.5157 0.5157 0.5157  3 Os 2.51, 3 Mn 2.62


Entry from Alexandria via LeMat-Bulk: a relaxed structure of BaMnOs2 (PBE-GGA).

Computed properties:
Mass density in g/cm3: 12.70
Formation energy from the elements in eV/atom: 1.31
Relative energy among the computed polymorphs in meV per atom: 991.2

Lattice parameters (Å, degrees): 3.0025 4.7832 5.2125 90.00 90.00 90.00
Closest atoms and distances in Å follow each position.
Fractional positions:
Ba 0.0000 0.0000 0.0000  4 Mn 2.82, 2 Ba 3.00, 4 Os 3.01
Mn 0.5000 0.5000 0.0000  4 Ba 2.82, 2 Mn 3.00, 4 Os 3.01
Os 0.0000 0.5000 0.5000  6 Os 2.82-3.00, 4 Mn 3.01
Os 0.5000 0.0000 0.5000  6 Os 2.82-3.00, 4 Ba 3.01